Entry 1:
V8CrMo2, relaxed, DFT PBE-GGA; excess energy over the best structure of this formula in the dataset = 162 meV/atom; energy of formation from the pure elements = 211 meV/atom; electronic total energy = -101.9 eV per cell; symmetry = No. 12; magnetic moment = 0.00 Bohr magnetons per cell
1.0
4.155 0.000 -1.197
-0.936 6.052 -3.249
-0.280 -0.918 6.839
V Cr Mo
8 1 2
Direct
0.563 0.737 0.126
0.316 0.559 0.632
0.196 0.097 0.393
0.048 0.238 0.097
0.804 0.903 0.607
0.684 0.441 0.368
0.437 0.263 0.874
0.952 0.762 0.903
0.500 0.000 0.000
0.149 0.685 0.297
0.851 0.315 0.703


Entry 2:
V2CrMo6, relaxed, DFT PBE-GGA; excess energy over the best structure of this formula in the dataset = 478 meV/atom; energy of formation from the pure elements = 417 meV/atom; electronic total energy = -178.2 eV per cell; symmetry = No. 14; magnetic moment = 0.00 Bohr magnetons per cell
1.0
5.059 0.000 0.440
0.000 6.504 0.000
-0.047 0.000 8.490
V Cr Mo
4 2 12
Direct
0.870 0.338 0.743
0.630 0.838 0.757
0.370 0.162 0.243
0.130 0.662 0.257
0.500 0.500 0.000
0.000 0.000 0.500
0.825 0.983 0.241
0.899 0.649 0.573
0.947 0.711 0.958
0.553 0.211 0.542
0.601 0.149 0.927
0.675 0.483 0.259
0.175 0.017 0.759
0.101 0.351 0.427
0.053 0.289 0.042
0.447 0.789 0.458
0.399 0.851 0.073
0.325 0.517 0.741


Entry 3:
V6CrMo2, relaxed, DFT PBE-GGA; excess energy over the best structure of this formula in the dataset = 0 meV/atom; energy of formation from the pure elements = 42 meV/atom; electronic total energy = -171.2 eV per cell; symmetry = No. 12; magnetic moment = 0.00 Bohr magnetons per cell
1.0
-0.730 -1.973 -4.322
5.781 -3.735 5.296
-6.646 0.230 5.586
V Cr Mo
12 2 4
Direct
0.342 0.326 0.512
0.158 0.488 0.674
0.658 0.674 0.488
0.842 0.512 0.326
0.917 0.084 0.584
0.583 0.416 0.916
0.083 0.916 0.416
0.417 0.584 0.084
0.158 0.174 0.988
0.342 0.012 0.826
0.842 0.826 0.012
0.658 0.988 0.174
0.250 0.750 0.250
0.750 0.250 0.750
0.000 0.334 0.166
0.500 0.834 0.666
0.000 0.666 0.834
0.500 0.166 0.334


Entry 4:
VCrMo, relaxed, DFT PBE-GGA; excess energy over the best structure of this formula in the dataset = 1023 meV/atom; energy of formation from the pure elements = 951 meV/atom; electronic total energy = -53.4 eV per cell; symmetry = No. 164; magnetic moment = 0.00 Bohr magnetons per cell
1.0
-2.401 2.396 1.734
-1.033 -1.720 -3.238
-3.065 -6.141 4.240
Cr Mo V
2 2 2
Direct
0.667 0.333 0.216
0.333 0.667 0.784
0.000 0.000 0.335
0.000 0.000 0.665
0.667 0.333 0.896
0.333 0.667 0.104


Entry 5:
V2Cr2Mo, relaxed, DFT PBE-GGA; energy of formation from the pure elements = -69 meV/atom; electronic total energy = -97.3 eV per cell; symmetry = No. 12; magnetic moment = 0.00 Bohr magnetons per cell
1.0
-4.102 -0.176 -0.883
2.672 -3.770 -1.683
-1.427 -1.729 6.965
V Cr Mo
4 4 2
Direct
0.446 0.393 0.149
0.054 0.607 0.351
0.554 0.607 0.851
0.946 0.393 0.649
0.645 0.791 0.548
0.855 0.209 0.952
0.355 0.209 0.452
0.145 0.791 0.048
0.750 0.000 0.250
0.250 0.000 0.750


Entry 6:
V4Cr2Mo3, relaxed, DFT PBE-GGA; excess energy over the best structure of this formula in the dataset = 248 meV/atom; energy of formation from the pure elements = 163 meV/atom; electronic total energy = -173.5 eV per cell; symmetry = No. 15; magnetic moment = 0.00 Bohr magnetons per cell
1.0
-3.941 2.586 0.811
0.741 -0.185 7.317
3.656 6.353 0.637
V Cr Mo
8 4 6
Direct
0.471 0.838 0.314
0.029 0.686 0.162
0.529 0.162 0.686
0.971 0.314 0.838
0.067 0.157 0.500
0.433 0.500 0.843
0.933 0.843 0.500
0.567 0.500 0.157
0.551 0.178 0.366
0.949 0.634 0.822
0.449 0.822 0.634
0.051 0.366 0.178
0.007 0.028 0.172
0.493 0.828 0.972
0.993 0.972 0.828
0.507 0.172 0.028
0.250 0.501 0.499
0.750 0.499 0.501


Entry 7:
VCrMo2, relaxed, DFT PBE-GGA; excess energy over the best structure of this formula in the dataset = 842 meV/atom; energy of formation from the pure elements = 779 meV/atom; electronic total energy = -37.3 eV per cell; symmetry = No. 71; magnetic moment = 0.00 Bohr magnetons per cell
1.0
4.969 -1.960 1.777
-1.317 5.177 -1.777
0.333 -4.059 3.886
V Cr Mo
1 1 2
Direct
0.000 0.000 0.000
0.500 0.000 0.500
0.738 0.000 0.738
0.262 0.000 0.262


Entry 8:
V4CrMo, relaxed, DFT PBE-GGA; excess energy over the best structure of this formula in the dataset = 12 meV/atom; energy of formation from the pure elements = 154 meV/atom; electronic total energy = -112.0 eV per cell; symmetry = No. 2; magnetic moment = 0.00 Bohr magnetons per cell
1.0
4.398 0.412 -2.086
-0.271 5.774 -3.016
-0.732 -1.123 7.561
V Cr Mo
8 2 2
Direct
0.953 0.286 0.656
0.759 0.347 0.265
0.116 0.205 0.045
0.427 0.050 0.814
0.047 0.714 0.344
0.241 0.653 0.735
0.884 0.795 0.955
0.573 0.950 0.186
0.662 0.421 0.896
0.338 0.579 0.104
0.271 0.131 0.425
0.729 0.869 0.575